Record 1
DFT (PBE) results for crystalline SiSn3Pb at its relaxed geometry.

Summary:
The value obtained for the raw formation energy is 0.382 eV/atom. For the polymorph energy (0 for the lowest one), the calculation gives 0.0 meV per atom. As for the crystal system: cubic. The total magnetic moment comes out at 0.000 μB/cell.

Cell lengths 5.2710, 5.2710, 5.2710 Å; angles 90.00, 90.00, 90.00 degrees
Fractional coordinates of all 5 atoms:
Pb  0.5000  0.5000  0.5000
Sn  0.5000  0.0000  0.0000
Sn  0.0000  0.5000  0.0000
Sn  0.0000  0.0000  0.5000
Si  0.0000  0.0000  0.0000



Record 2
DFT (PBE) results for crystalline SiSn2Pb at its relaxed geometry.

Summary:
The value obtained for the raw formation energy is 0.181 eV/atom. For the polymorph energy (0 for the lowest one), the calculation gives 0.0 meV per atom. As for the crystal system: tetragonal. The total magnetic moment comes out at 0.000 μB/cell.

Cell lengths 6.4566, 6.4566, 7.8384 Å; angles 65.68, 65.68, 90.00 degrees
Fractional coordinates of all 8 atoms:
Si  0.2500  0.7500  0.5000
Si  0.5000  0.5000  0.0000
Pb  0.0000  0.0000  0.0000
Sn  0.1645  0.6250  0.2500
Sn  0.3750  0.4145  0.7500
Sn  0.8750  0.8355  0.7500
Pb  0.7500  0.2500  0.5000
Sn  0.5855  0.1250  0.2500



Record 3
DFT (PBE) results for crystalline SiSnPb2 at its relaxed geometry.

Summary:
The value obtained for the raw formation energy is 0.316 eV/atom. For the polymorph energy (0 for the lowest one), the calculation gives 0.0 meV per atom. As for the crystal system: tetragonal. The total magnetic moment comes out at 0.000 μB/cell.

Cell lengths 6.5630, 6.5630, 7.9900 Å; angles 65.75, 65.75, 90.00 degrees
Fractional coordinates of all 8 atoms:
Sn  0.7500  0.2500  0.5000
Pb  0.1544  0.6250  0.2500
Si  0.5000  0.5000  0.0000
Pb  0.3750  0.4044  0.7500
Sn  0.0000  0.0000  0.0000
Si  0.2500  0.7500  0.5000
Pb  0.8750  0.8456  0.7500
Pb  0.5956  0.1250  0.2500